Entry 1:
A plane-wave DFT calculation with GGA-PBE was carried out for crystalline ZrCr2Cl2 at its relaxed geometry.

Formation energy (no corrections) in kJ/mol of atoms: 40
E above lowest polymorph in meV per atom: 227
Total magnetic moment in μB per atom: 0.000
E in Ha/atom: -0.2161

Cell: 5.6481 5.6481 5.6481 Å, 139.04 139.04 59.31°
Closest atoms and distances in Å follow each position.
Atoms (fractional coordinates):
Zr  0.0000  0.0000  0.0000  10 Cl 3.13-3.50, 8 Cr 3.15
Cr  0.2500  0.7500  0.5000  4 Cl 2.24
Cr  0.7500  0.2500  0.5000  4 Cl 2.24
Cl  0.3567  0.3567  0.0000  4 Cr 2.24
Cl  0.6433  0.6433  0.0000  4 Cr 2.24

=====

Entry 2:
A plane-wave DFT calculation with GGA-PBE was carried out for crystalline Er5Lu3Bi12 at its relaxed geometry.

Total magnetic moment in μB per atom: 0.000
Energy relative to the elements in eV/atom: -0.159
E in Ha/atom: -0.1583

Cell: 15.7215 15.7215 15.7215 Å, 109.47 109.47 109.47°
Closest atoms and distances in Å follow each position.
Atoms (fractional coordinates):
Er  0.0000  0.0000  0.0000  6 Bi 3.22
Er  0.0000  0.0000  0.5000  6 Bi 3.22
Er  0.0000  0.5000  0.0000  6 Bi 3.22
Er  0.0000  0.5000  0.5000  6 Bi 3.22
Er  0.1250  0.7500  0.8750  4 Bi 3.01
Er  0.1250  0.8750  0.2500  4 Bi 3.01
Er  0.2500  0.1250  0.8750  4 Bi 3.01
Er  0.2500  0.6250  0.3750  4 Bi 3.01
Er  0.3750  0.2500  0.6250  4 Bi 3.01
Er  0.3750  0.6250  0.7500  4 Bi 3.01
Er  0.5000  0.0000  0.0000  6 Bi 3.22
Er  0.5000  0.0000  0.5000  6 Bi 3.22
Er  0.5000  0.5000  0.0000  6 Bi 3.22
Er  0.5000  0.5000  0.5000  6 Bi 3.22
Er  0.6250  0.3750  0.2500  4 Bi 3.01
Er  0.6250  0.7500  0.3750  4 Bi 3.01
Er  0.7500  0.3750  0.6250  4 Bi 3.01
Er  0.7500  0.8750  0.1250  4 Bi 3.01
Er  0.8750  0.1250  0.7500  4 Bi 3.01
Er  0.8750  0.2500  0.1250  4 Bi 3.01
Lu  0.1250  0.2500  0.3750  4 Bi 3.01
Lu  0.1250  0.3750  0.7500  4 Bi 3.01
Lu  0.2500  0.3750  0.1250  4 Bi 3.01
Lu  0.2500  0.8750  0.6250  4 Bi 3.01
Lu  0.3750  0.1250  0.2500  4 Bi 3.01
Lu  0.3750  0.7500  0.1250  4 Bi 3.01
Lu  0.6250  0.2500  0.8750  4 Bi 3.01
Lu  0.6250  0.8750  0.7500  4 Bi 3.01
Lu  0.7500  0.1250  0.3750  4 Bi 3.01
Lu  0.7500  0.6250  0.8750  4 Bi 3.01
Lu  0.8750  0.6250  0.2500  4 Bi 3.01
Lu  0.8750  0.7500  0.6250  4 Bi 3.01
Bi  0.0634  0.6271  0.3870  1 Lu 3.01, 2 Er 3.01-3.22
Bi  0.0634  0.9363  0.6764  1 Lu 3.01, 2 Er 3.01-3.22
Bi  0.0637  0.2401  0.1271  1 Lu 3.01, 2 Er 3.01-3.22
Bi  0.0637  0.3236  0.9366  1 Lu 3.01, 2 Er 3.01-3.22
Bi  0.1130  0.7401  0.6764  1 Lu 3.01, 2 Er 3.01-3.22
Bi  0.1130  0.8729  0.4366  1 Lu 3.01, 2 Er 3.01-3.22
Bi  0.1271  0.0637  0.2401  1 Lu 3.01, 2 Er 3.01-3.22
Bi  0.1271  0.5634  0.8870  1 Lu 3.01, 2 Er 3.01-3.22
Bi  0.1764  0.2401  0.6130  1 Lu 3.01, 2 Er 3.01-3.22
Bi  0.1764  0.4363  0.5634  1 Lu 3.01, 2 Er 3.01-3.22
Bi  0.2401  0.1271  0.0637  1 Lu 3.01, 2 Er 3.01-3.22
Bi  0.2401  0.6130  0.1764  1 Lu 3.01, 2 Er 3.01-3.22
Bi  0.2599  0.3236  0.8870  1 Lu 3.01, 2 Er 3.01-3.22
Bi  0.2599  0.4363  0.3729  1 Lu 3.01, 2 Er 3.01-3.22
Bi  0.3236  0.8870  0.2599  1 Lu 3.01, 2 Er 3.01-3.22
Bi  0.3236  0.9366  0.0637  1 Lu 3.01, 2 Er 3.01-3.22
Bi  0.3729  0.2599  0.4363  1 Lu 3.01, 2 Er 3.01-3.22
Bi  0.3729  0.6130  0.9366  1 Lu 3.01, 2 Er 3.01-3.22
Bi  0.3870  0.0634  0.6271  1 Lu 3.01, 2 Er 3.01-3.22
Bi  0.3870  0.8236  0.7599  1 Lu 3.01, 2 Er 3.01-3.22
Bi  0.4363  0.3729  0.2599  1 Lu 3.01, 2 Er 3.01-3.22
Bi  0.4363  0.5634  0.1764  1 Lu 3.01, 2 Er 3.01-3.22
Bi  0.4366  0.1130  0.8729  1 Lu 3.01, 2 Er 3.01-3.22
Bi  0.4366  0.8236  0.5637  1 Lu 3.01, 2 Er 3.01-3.22
Bi  0.5634  0.1764  0.4363  1 Lu 3.01, 2 Er 3.01-3.22
Bi  0.5634  0.8870  0.1271  1 Lu 3.01, 2 Er 3.01-3.22
Bi  0.5637  0.4366  0.8236  1 Lu 3.01, 2 Er 3.01-3.22
Bi  0.5637  0.6271  0.7401  1 Lu 3.01, 2 Er 3.01-3.22
Bi  0.6130  0.1764  0.2401  1 Lu 3.01, 2 Er 3.01-3.22
Bi  0.6130  0.9366  0.3729  1 Lu 3.01, 2 Er 3.01-3.22
Bi  0.6271  0.3870  0.0634  1 Lu 3.01, 2 Er 3.01-3.22
Bi  0.6271  0.7401  0.5637  1 Lu 3.01, 2 Er 3.01-3.22
Bi  0.6764  0.0634  0.9363  1 Lu 3.01, 2 Er 3.01-3.22
Bi  0.6764  0.1130  0.7401  1 Lu 3.01, 2 Er 3.01-3.22
Bi  0.7401  0.5637  0.6271  1 Lu 3.01, 2 Er 3.01-3.22
Bi  0.7401  0.6764  0.1130  1 Lu 3.01, 2 Er 3.01-3.22
Bi  0.7599  0.3870  0.8236  1 Lu 3.01, 2 Er 3.01-3.22
Bi  0.7599  0.8729  0.9363  1 Lu 3.01, 2 Er 3.01-3.22
Bi  0.8236  0.5637  0.4366  1 Lu 3.01, 2 Er 3.01-3.22
Bi  0.8236  0.7599  0.3870  1 Lu 3.01, 2 Er 3.01-3.22
Bi  0.8729  0.4366  0.1130  1 Lu 3.01, 2 Er 3.01-3.22
Bi  0.8729  0.9363  0.7599  1 Lu 3.01, 2 Er 3.01-3.22
Bi  0.8870  0.1271  0.5634  1 Lu 3.01, 2 Er 3.01-3.22
Bi  0.8870  0.2599  0.3236  1 Lu 3.01, 2 Er 3.01-3.22
Bi  0.9363  0.6764  0.0634  1 Lu 3.01, 2 Er 3.01-3.22
Bi  0.9363  0.7599  0.8729  1 Lu 3.01, 2 Er 3.01-3.22
Bi  0.9366  0.0637  0.3236  1 Lu 3.01, 2 Er 3.01-3.22
Bi  0.9366  0.3729  0.6130  1 Lu 3.01, 2 Er 3.01-3.22

=====

Entry 3:
A plane-wave DFT calculation with GGA-PBE was carried out for crystalline HfMg2Cu at its relaxed geometry.

E above lowest polymorph in meV per atom: 312
Total magnetic moment in μB per atom: 0.000
Energy relative to the elements in eV/atom: 0.356
E in Ha/atom: -0.1453

Cell: 6.0702 6.0702 6.0702 Å, 101.87 101.87 126.05°
Closest atoms and distances in Å follow each position.
Atoms (fractional coordinates):
Hf  0.0000  0.0000  0.0000  2 Cu 2.75
Hf  0.7500  0.2500  0.5000  2 Cu 2.75
Mg  0.1782  0.1250  0.5532  2 Cu 2.53
Mg  0.3750  0.8218  0.9468  2 Cu 2.53
Mg  0.5718  0.6250  0.4468  2 Cu 2.53
Mg  0.8750  0.4282  0.0532  2 Cu 2.53
Cu  0.2500  0.7500  0.5000  4 Mg 2.53, 2 Hf 2.75
Cu  0.5000  0.5000  0.0000  4 Mg 2.53, 2 Hf 2.75

=====

Entry 4:
A plane-wave DFT calculation with GGA-PBE was carried out for crystalline Sc2InN at its relaxed geometry.

Formation energy (no corrections) in kJ/mol of atoms: -78
Total magnetic moment in μB per atom: 0.000
E in Ha/atom: -0.2476

Cell: 6.0096 6.0096 6.0096 Å, 114.53 114.53 99.77°
Closest atoms and distances in Å follow each position.
Atoms (fractional coordinates):
Sc  0.0061  0.6250  0.8811  2 N 2.07
Sc  0.3750  0.2561  0.3811  2 N 2.07
Sc  0.7439  0.1250  0.1189  2 N 2.07
Sc  0.8750  0.9939  0.6189  2 N 2.07
In  0.2500  0.7500  0.5000  4 Sc 3.05
In  0.5000  0.5000  0.0000  4 Sc 3.05
N  0.0000  0.0000  0.0000  4 Sc 2.07
N  0.7500  0.2500  0.5000  4 Sc 2.07

=====

Entry 5:
A plane-wave DFT calculation with GGA-PBE was carried out for crystalline RbAgCl3 at its relaxed geometry.

Formation energy (no corrections) in kJ/mol of atoms: -93
Total magnetic moment in μB per atom: 0.121
E in Ha/atom: -0.1042

Cell: 4.8451 4.8451 16.1406 Å, 90.00 90.00 120.00°
Closest atoms and distances in Å follow each position.
Atoms (fractional coordinates):
Rb  0.0000  0.0000  0.0000  6 Cl 3.25
Rb  0.0000  0.0000  0.5000  6 Cl 3.25
Ag  0.3333  0.6667  0.2500  2 Cl 2.39
Ag  0.6667  0.3333  0.7500  2 Cl 2.39
Cl  0.0000  0.0000  0.2500  3 Ag 2.80
Cl  0.0000  0.0000  0.7500  3 Ag 2.80
Cl  0.3333  0.6667  0.1021  1 Ag 2.39
Cl  0.3333  0.6667  0.3979  1 Ag 2.39
Cl  0.6667  0.3333  0.6021  1 Ag 2.39
Cl  0.6667  0.3333  0.8979  1 Ag 2.39

=====

Entry 6:
A plane-wave DFT calculation with GGA-PBE was carried out for crystalline Ca3PrHf2As6 at its relaxed geometry.

Total magnetic moment in μB per atom: 0.000
Energy relative to the elements in eV/atom: -1.151
E in Ha/atom: -0.2217

Cell: 7.0508 7.0508 7.2697 Å, 99.40 99.40 120.16°
Closest atoms and distances in Å follow each position.
Atoms (fractional coordinates):
Ca  0.0000  0.0000  0.0000  6 As 2.89-3.05
Ca  0.3397  0.6603  0.0000  6 As 2.92-3.07
Ca  0.6603  0.3397  0.0000  6 As 2.92-3.07
Pr  0.5000  0.5000  0.5000  6 As 2.95-2.96
Hf  0.1681  0.8319  0.5000  6 As 2.76-2.77
Hf  0.8319  0.1681  0.5000  6 As 2.76-2.77
As  0.0674  0.4224  0.2694  2 Hf 2.76-2.77, 3 Ca 2.92-3.07, 1 Pr 2.96
As  0.2209  0.2209  0.7278  2 Hf 2.77, 3 Ca 2.89-3.01, 1 Pr 2.95
As  0.4224  0.0674  0.2694  2 Hf 2.76-2.77, 3 Ca 2.92-3.07, 1 Pr 2.96
As  0.5776  0.9326  0.7306  2 Hf 2.76-2.77, 3 Ca 2.92-3.07, 1 Pr 2.96
As  0.7791  0.7791  0.2722  2 Hf 2.77, 3 Ca 2.89-3.01, 1 Pr 2.95
As  0.9326  0.5776  0.7306  2 Hf 2.76-2.77, 3 Ca 2.92-3.07, 1 Pr 2.96

=====

Entry 7:
A plane-wave DFT calculation with GGA-PBE was carried out for crystalline Ca2PCl at its relaxed geometry.

Formation energy (no corrections) in kJ/mol of atoms: -138
Total magnetic moment in μB per atom: 0.000
E in Ha/atom: -0.1560

Cell: 5.0374 5.0374 5.0374 Å, 60.00 60.00 60.00°
Closest atoms and distances in Å follow each position.
Atoms (fractional coordinates):
Ca  0.2500  0.2500  0.2500  4 Cl 3.08, 4 P 3.08
Ca  0.7500  0.7500  0.7500  4 Cl 3.08, 4 P 3.08
P  0.0000  0.0000  0.0000  8 Ca 3.08
Cl  0.5000  0.5000  0.5000  8 Ca 3.08

=====

Entry 8:
A plane-wave DFT calculation with GGA-PBE was carried out for crystalline Tb3Dy8Er at its relaxed geometry.

Total magnetic moment in μB per atom: 0.000
Energy relative to the elements in eV/atom: 0.730
E in Ha/atom: -0.1424

Cell: 9.3719 9.3719 9.3719 Å, 131.79 131.79 70.56°
Closest atoms and distances in Å follow each position.
Atoms (fractional coordinates):
Tb  0.0000  0.0000  0.0000  8 Dy 3.32
Tb  0.2500  0.7500  0.5000  8 Dy 3.32
Tb  0.7500  0.2500  0.5000  8 Dy 3.32
Dy  0.1258  0.1258  0.5011  1 Er 3.31, 3 Tb 3.32
Dy  0.1258  0.6248  0.0000  1 Er 3.31, 3 Tb 3.32
Dy  0.3752  0.3752  0.5011  1 Er 3.31, 3 Tb 3.32
Dy  0.3752  0.8742  0.0000  1 Er 3.31, 3 Tb 3.32
Dy  0.6248  0.1258  0.0000  1 Er 3.31, 3 Tb 3.32
Dy  0.6248  0.6248  0.4989  1 Er 3.31, 3 Tb 3.32
Dy  0.8742  0.3752  0.0000  1 Er 3.31, 3 Tb 3.32
Dy  0.8742  0.8742  0.4989  1 Er 3.31, 3 Tb 3.32
Er  0.5000  0.5000  0.0000  8 Dy 3.31